Record 1
Material: URuRh
Method: DFT, GGA-PBE
State: optimized geometry

Output
The volume is 17.775 Å³/atom. As for the space group: I4/mmm (139). The density comes out at 13.8 g cm⁻³. Its crystal system is tetragonal.

POSCAR file:
```
URuRh
1.0
4.175 0.000 0.000
0.000 4.175 0.000
-2.088 -2.088 6.118
Rh U Ru
2 2 2
Cartesian
2.088 0.000 0.000 Rh
0.000 2.088 0.000 Rh
0.000 0.000 4.121 U
2.088 2.088 1.997 U
2.088 2.088 4.286 Ru
0.000 0.000 1.832 Ru
```

***

Record 2
Material: URuRh
Method: DFT, GGA-PBE
State: optimized geometry

Output
The volume is 20.053 Å³/atom. As for the space group: F-43m (216). The density comes out at 12.2 g cm⁻³. Its crystal system is cubic.

POSCAR file:
```
URuRh
1.0
4.398 0.000 0.000
2.199 3.809 0.000
2.199 1.270 3.591
U Ru Rh
1 1 1
Cartesian
2.199 1.270 0.898 U
0.000 0.000 0.000 Ru
4.398 2.539 1.796 Rh
```

***

Record 3
Material: URuRh
Method: DFT, GGA-PBE
State: optimized geometry

Output
The volume is 18.421 Å³/atom. As for the space group: P3m1 (156). The density comes out at 13.3 g cm⁻³. Its crystal system is trigonal.

POSCAR file:
```
URuRh
1.0
3.564 0.000 0.000
-1.782 3.086 0.000
0.000 0.000 5.025
U Rh Ru
1 1 1
Cartesian
1.782 1.029 1.721 U
0.000 0.000 0.032 Rh
0.000 2.057 3.272 Ru
```

***

Record 4
Material: URuRh2
Method: DFT, GGA-PBE
State: optimized geometry

Output
The volume is 16.756 Å³/atom. As for the space group: R-3m (166). The density comes out at 13.5 g cm⁻³. Its crystal system is trigonal.

POSCAR file:
```
URuRh2
1.0
4.484 0.000 0.000
2.242 3.883 0.000
2.242 1.294 3.849
Rh Ru U
2 1 1
Cartesian
6.726 3.883 2.713 Rh
2.242 1.294 1.136 Rh
0.000 0.000 0.000 Ru
4.484 2.589 1.924 U
```

***

Record 5
Material: URuRh
Method: DFT, GGA-PBE
State: optimized geometry

Output
The volume is 17.433 Å³/atom. As for the space group: R3m (160). The density comes out at 14.0 g cm⁻³. Its crystal system is trigonal.

POSCAR file:
```
URuRh
1.0
1.086 1.537 6.677
1.703 -1.395 6.578
3.790 0.604 5.778
Rh U Ru
1 1 1
Cartesian
5.361 0.608 15.507 Rh
6.123 0.694 17.712 U
2.421 0.274 7.002 Ru
```

***

Record 6
Material: UZnRuRh
Method: DFT, GGA-PBE
State: optimized geometry

Output
The volume is 16.855 Å³/atom. As for the space group: F-43m (216). The density comes out at 12.5 g cm⁻³. Its crystal system is cubic.

POSCAR file:
```
UZnRuRh
1.0
-1.971 -0.395 -4.102
-4.433 -1.058 -0.312
-3.005 3.143 -1.402
Ru U Rh Zn
1 1 1 1
Cartesian
-7.057 1.268 -4.362 Ru
-4.705 0.845 -2.908 U
-2.352 0.423 -1.454 Rh
0.000 0.000 0.000 Zn
```

***

One value per record, in order, for VASP energy: -9.792; -9.275; -9.463; -8.977; -9.193; -7.646 eV/atom.